No. 1
First-principles (PBE) data for a geometry-optimized U2FeNi structure, as listed in Alexandria via LeMat-Bulk.

```
data_U2FeNi
_cell_length_a 2.8678
_cell_length_b 2.8678
_cell_length_c 28.0561
_cell_angle_alpha 90.00
_cell_angle_beta 90.00
_cell_angle_gamma 120.00
_symmetry_space_group_name_H-M 'R -3 m'
_symmetry_Int_Tables_number 166
_symmetry_space_group_name_Hall '-R 3 2"'
loop_
_atom_site_label
_atom_site_fract_x
_atom_site_fract_y
_atom_site_fract_z
U1 0.0000 0.0000 0.0887
Fe1 0.0000 0.0000 0.5000
Ni1 0.0000 0.0000 0.0000
```

Output
density of states at the Fermi level: 21.15 states/eV/cell
total magnetization: 0.033 μB per formula unit
formation energy: 0.403 eV/atom
crystal system: trigonal


No. 2
First-principles (PBE) data for a geometry-optimized UFeNi structure, as listed in Alexandria via LeMat-Bulk.

```
data_UFeNi
_cell_length_a 2.9058
_cell_length_b 2.9058
_cell_length_c 10.5807
_cell_angle_alpha 90.00
_cell_angle_beta 90.00
_cell_angle_gamma 90.00
_symmetry_space_group_name_H-M 'I 4 m m'
_symmetry_Int_Tables_number 107
_symmetry_space_group_name_Hall 'I 4 -2'
loop_
_atom_site_label
_atom_site_fract_x
_atom_site_fract_y
_atom_site_fract_z
U1 0.0000 0.0000 0.0000
Fe1 0.0000 0.0000 0.3201
Ni1 0.0000 0.0000 0.6892
```

Output
energy above the lowest structure with this stoichiometry: 235.5 meV/atom
density of states at the Fermi level: 11.13 states/eV/cell
total magnetization: 1.186 μB per formula unit
formation energy: 0.088 eV/atom
crystal system: tetragonal


No. 3
First-principles (PBE) data for a geometry-optimized UFe2Ni structure, as listed in Alexandria via LeMat-Bulk.

```
data_UFe2Ni
_cell_length_a 2.8952
_cell_length_b 2.8952
_cell_length_c 6.7200
_cell_angle_alpha 90.00
_cell_angle_beta 90.00
_cell_angle_gamma 90.00
_symmetry_space_group_name_H-M 'P 4/m m m'
_symmetry_Int_Tables_number 123
_symmetry_space_group_name_Hall '-P 4 2'
loop_
_atom_site_label
_atom_site_fract_x
_atom_site_fract_y
_atom_site_fract_z
U1 0.0000 0.0000 0.0000
Fe1 0.5000 0.5000 0.2968
Ni1 0.0000 0.0000 0.5000
```

Output
density of states at the Fermi level: 6.13 states/eV/cell
total magnetization: 3.871 μB per formula unit
formation energy: 0.125 eV/atom
crystal system: tetragonal


No. 4
First-principles (PBE) data for a geometry-optimized UFe2Ni10 structure, as listed in Alexandria via LeMat-Bulk.

```
data_UFe2Ni10
_cell_length_a 4.6901
_cell_length_b 11.5724
_cell_length_c 11.6402
_cell_angle_alpha 90.00
_cell_angle_beta 90.00
_cell_angle_gamma 90.00
_symmetry_space_group_name_H-M 'F m m m'
_symmetry_Int_Tables_number 69
_symmetry_space_group_name_Hall '-F 2 2'
loop_
_atom_site_label
_atom_site_fract_x
_atom_site_fract_y
_atom_site_fract_z
U1 0.0000 0.0000 0.0000
Fe1 0.2500 0.0000 0.2500
Ni1 0.0000 0.1082 0.3918
Ni2 0.0000 0.1760 0.1759
Ni3 0.2500 0.2500 0.0000
```

Output
density of states at the Fermi level: 74.23 states/eV/cell
total magnetization: 6.966 μB per formula unit
formation energy: -0.073 eV/atom
crystal system: orthorhombic


No. 5
First-principles (PBE) data for a geometry-optimized UFe2Ni5 structure, as listed in Alexandria via LeMat-Bulk.

```
data_UFe2Ni5
_cell_length_a 3.3468
_cell_length_b 7.1917
_cell_length_c 8.4797
_cell_angle_alpha 90.00
_cell_angle_beta 90.00
_cell_angle_gamma 90.00
_symmetry_space_group_name_H-M 'I m m m'
_symmetry_Int_Tables_number 71
_symmetry_space_group_name_Hall '-I 2 2'
loop_
_atom_site_label
_atom_site_fract_x
_atom_site_fract_y
_atom_site_fract_z
U1 0.0000 0.0000 0.0000
Fe1 0.0000 0.5000 0.2867
Ni1 0.0000 0.1799 0.3515
Ni2 0.0000 0.5000 0.0000
```

Output
density of states at the Fermi level: 19.98 states/eV/cell
total magnetization: 3.268 μB per formula unit
formation energy: 0.004 eV/atom
crystal system: orthorhombic


No. 6
First-principles (PBE) data for a geometry-optimized UFeNi structure, as listed in Alexandria via LeMat-Bulk.

```
data_UFeNi
_cell_length_a 4.5911
_cell_length_b 4.2676
_cell_length_c 4.7860
_cell_angle_alpha 90.00
_cell_angle_beta 111.71
_cell_angle_gamma 90.00
_symmetry_space_group_name_H-M 'P 1 21/m 1'
_symmetry_Int_Tables_number 11
loop_
_symmetry_equiv_pos_as_xyz
'x,y,z'
'-x,-y,-z'
'-x,y+1/2,-z'
'x,-y+1/2,z'
loop_
_atom_site_label
_atom_site_fract_x
_atom_site_fract_y
_atom_site_fract_z
U1 0.1910 0.2500 0.1734
Fe1 0.4096 0.2500 0.8335
Ni1 0.1697 0.7500 0.5052
```

Output
energy above the lowest structure with this stoichiometry: 0.0 meV/atom
density of states at the Fermi level: 6.99 states/eV/cell
total magnetization: 0.132 μB per formula unit
formation energy: -0.147 eV/atom
crystal system: monoclinic


No. 7
First-principles (PBE) data for a geometry-optimized UZnFeNi structure, as listed in Alexandria via LeMat-Bulk.

```
data_UZnFeNi
_cell_length_a 6.2480
_cell_length_b 6.2480
_cell_length_c 6.2480
_cell_angle_alpha 90.00
_cell_angle_beta 90.00
_cell_angle_gamma 90.00
_symmetry_space_group_name_H-M 'F -4 3 m'
_symmetry_Int_Tables_number 216
_symmetry_space_group_name_Hall 'F -4 2 3'
loop_
_atom_site_label
_atom_site_fract_x
_atom_site_fract_y
_atom_site_fract_z
U1 0.0000 0.0000 0.0000
Zn1 0.0000 0.0000 0.5000
Fe1 0.2500 0.2500 0.2500
Ni1 0.2500 0.2500 0.7500
```

Output
density of states at the Fermi level: 26.81 states/eV/cell
total magnetization: 0.648 μB per formula unit
formation energy: 0.031 eV/atom
crystal system: cubic


No. 8
First-principles (PBE) data for a geometry-optimized V2Fe2Ni15 structure, as listed in Alexandria via LeMat-Bulk.

```
data_V2Fe2Ni15
_cell_length_a 8.0107
_cell_length_b 8.0107
_cell_length_c 12.2558
_cell_angle_alpha 90.00
_cell_angle_beta 90.00
_cell_angle_gamma 120.00
_symmetry_space_group_name_H-M 'R -3 m'
_symmetry_Int_Tables_number 166
_symmetry_space_group_name_Hall '-R 3 2"'
loop_
_atom_site_label
_atom_site_fract_x
_atom_site_fract_y
_atom_site_fract_z
V1 0.0000 0.0000 0.0935
Fe1 0.0000 0.0000 0.3148
Ni1 0.0000 0.3171 0.0000
Ni2 0.0000 0.5000 0.5000
Ni3 0.0028 0.5014 0.1578
```

Output
energy above the lowest structure with this stoichiometry: 24.4 meV/atom
density of states at the Fermi level: 78.79 states/eV/cell
total magnetization: 12.641 μB per formula unit
formation energy: 0.121 eV/atom
crystal system: trigonal